[1]
PBE LiAgW2, relaxed; SG = F-43m; VASP energy = -7.0088 eV/atom
1.0
0.000 3.161 3.161
3.161 0.000 3.161
3.161 3.161 0.000
Li Ag W
1 1 2
Cartesian
0.000 0.000 0.000
1.581 1.581 1.581
3.161 3.161 3.161
4.742 4.742 4.742

=====

[2]
PBE LiYAg, relaxed; SG = F-43m; polymorph energy (0 for the lowest one) = 0.0 meV per atom; VASP energy = -3.7257 eV/atom
1.0
0.000 3.369 3.369
3.369 0.000 3.369
3.369 3.369 0.000
Li Y Ag
1 1 1
Cartesian
0.000 0.000 0.000
3.369 3.369 3.369
1.685 1.685 1.685

=====

[3]
PBE LiZnAg2, relaxed; SG = Pnma; VASP energy = -2.3007 eV/atom
1.0
7.704 0.000 0.000
0.000 8.038 0.000
0.000 0.000 4.445
Li Zn Ag
4 4 8
Cartesian
0.001 2.010 0.003
7.703 6.029 4.442
3.853 2.010 2.219
3.851 6.029 2.226
1.284 2.010 2.225
2.568 6.029 0.002
5.136 2.010 4.443
6.420 6.029 2.220
1.284 4.662 2.219
1.284 7.395 2.219
2.568 0.643 4.442
2.568 3.376 4.442
5.136 4.662 0.003
5.136 7.395 0.003
6.420 0.643 2.226
6.420 3.376 2.226

=====

[4]
PBE LiZnAg2, relaxed; SG = P4/mmm; VASP energy = -2.3590 eV/atom
1.0
3.222 0.000 0.000
0.000 3.222 0.000
0.000 0.000 6.109
Li Zn Ag
1 1 2
Cartesian
0.000 0.000 0.000
0.000 0.000 3.054
1.611 1.611 1.513
1.611 1.611 4.596

=====

[5]
PBE LiZnAg2, relaxed; SG = P6_3/mmc; VASP energy = -2.3051 eV/atom
1.0
4.496 0.000 0.000
-2.248 3.894 0.000
0.000 0.000 8.253
Li Zn Ag
2 2 4
Cartesian
0.000 2.596 2.063
2.248 1.298 6.190
0.000 0.000 0.000
0.000 0.000 4.127
0.000 2.596 4.791
0.000 2.596 7.588
2.248 1.298 0.665
2.248 1.298 3.462

=====

[6]
PBE Li2Zn2Ag, relaxed; SG = C2/m; VASP energy = -2.0427 eV/atom
1.0
4.252 -2.007 0.000
4.252 2.007 0.000
-3.984 0.000 4.378
Li Zn Ag
2 2 1
Cartesian
1.302 0.000 0.484
3.219 0.000 3.895
0.587 0.000 3.090
3.934 0.000 1.289
-1.992 0.000 2.189

=====

[7]
PBE LiZn4Ag, relaxed; SG = Amm2; VASP energy = -1.7627 eV/atom
1.0
4.410 0.000 0.000
0.000 4.160 2.410
0.000 -4.160 2.410
Li Zn Ag
1 4 1
Cartesian
0.000 0.000 0.000
0.000 -1.438 2.472
0.000 1.438 2.472
2.205 -1.376 4.006
2.205 1.376 4.006
2.205 0.000 1.581

=====

[8]
PBE Li2ZnAg, relaxed; SG = F-43m; VASP energy = -2.1935 eV/atom
1.0
0.000 3.113 3.113
3.113 0.000 3.113
3.113 3.113 0.000
Li Zn Ag
2 1 1
Cartesian
0.000 0.000 0.000
1.557 1.557 1.557
4.670 4.670 4.670
3.113 3.113 3.113

=====

[9]
PBE LiZnAg2, relaxed; SG = P6_3/mmc; VASP energy = -2.3002 eV/atom
1.0
4.481 0.000 0.000
-2.241 3.881 0.000
0.000 0.000 8.051
Li Zn Ag
2 2 4
Cartesian
0.000 0.000 0.000
0.000 0.000 4.026
0.000 2.587 2.013
2.241 1.294 6.038
0.000 2.587 4.688
0.000 2.587 7.389
2.241 1.294 0.662
2.241 1.294 3.363

=====

[10]
PBE LiZnAg2, relaxed; SG = P4/mmm; VASP energy = -2.3872 eV/atom
1.0
4.187 0.000 0.000
0.000 4.187 0.000
0.000 0.000 3.627
Li Zn Ag
1 1 2
Cartesian
0.000 0.000 0.000
2.093 2.093 0.000
0.000 2.093 1.813
2.093 0.000 1.813

=====

[11]
PBE LiZnAg2, relaxed; SG = I4/mmm; VASP energy = -2.3995 eV/atom
1.0
-2.227 2.227 3.180
2.227 -2.227 3.180
2.227 2.227 -3.180
Li Zn Ag
1 1 2
Cartesian
0.000 0.000 0.000
0.000 0.000 3.180
2.227 0.000 1.590
0.000 2.227 1.590

=====

[12]
PBE LiZnAg2, relaxed; SG = P6_3/mmc; VASP energy = -2.3013 eV/atom
1.0
4.446 0.000 0.000
-2.223 3.851 0.000
0.000 0.000 8.044
Li Zn Ag
2 2 4
Cartesian
0.000 0.000 2.011
0.000 0.000 6.033
0.000 2.567 2.011
2.223 1.284 6.033
0.000 2.567 4.667
0.000 2.567 7.399
2.223 1.284 0.645
2.223 1.284 3.377

=====

[13]
PBE Li2ZnAg, relaxed; SG = F-43m; VASP energy = -2.1958 eV/atom
1.0
0.000 3.130 3.130
3.130 0.000 3.130
3.130 3.130 0.000
Li Zn Ag
2 1 1
Cartesian
0.000 0.000 0.000
1.565 1.565 1.565
3.130 3.130 3.130
4.695 4.695 4.695

=====

[14]
PBE LiZnAg2, relaxed; SG = F-43m; VASP energy = -2.3497 eV/atom
1.0
0.000 3.203 3.203
3.203 0.000 3.203
3.203 3.203 0.000
Li Zn Ag
1 1 2
Cartesian
0.000 0.000 0.000
4.804 4.804 4.804
1.601 1.601 1.601
3.203 3.203 3.203

=====

[15]
PBE Li2ZrAg, relaxed; SG = F-43m; VASP energy = -3.6655 eV/atom
1.0
0.000 3.275 3.275
3.275 0.000 3.275
3.275 3.275 0.000
Li Zr Ag
2 1 1
Cartesian
0.000 0.000 0.000
1.637 1.637 1.637
3.275 3.275 3.275
4.912 4.912 4.912

=====

[16]
PBE LuMg2Ag, relaxed; SG = F-43m; VASP energy = -2.7573 eV/atom
1.0
0.000 3.502 3.502
3.502 0.000 3.502
3.502 3.502 0.000
Lu Mg Ag
1 2 1
Cartesian
0.000 0.000 0.000
1.751 1.751 1.751
3.502 3.502 3.502
5.253 5.253 5.253

=====

[17]
PBE LuMgAgO3, relaxed; SG = Cmcm; VASP energy = -6.1318 eV/atom
1.0
1.567 -7.396 0.000
1.567 7.396 0.000
0.000 0.000 6.422
Lu Mg Ag O
2 2 2 6
Cartesian
0.000 0.000 0.000
0.000 0.000 3.211
1.567 2.295 4.816
1.567 -2.295 1.605
1.567 2.719 1.605
1.567 -2.719 4.816
1.567 5.249 0.245
1.567 5.249 2.966
1.567 0.075 4.816
1.567 -0.075 1.605
1.567 -5.249 3.456
1.567 -5.249 6.176

=====

[18]
PBE LuMgAgS3, relaxed; SG = Cmcm; VASP energy = -4.6905 eV/atom
1.0
1.861 -6.217 0.000
1.861 6.217 0.000
0.000 0.000 10.494
Lu Mg Ag S
2 2 2 6
Cartesian
0.000 0.000 0.000
0.000 0.000 5.247
1.861 3.290 7.871
1.861 -3.290 2.624
1.861 0.236 2.624
1.861 -0.236 7.871
1.861 4.727 2.624
1.861 1.787 0.707
1.861 1.787 4.540
1.861 -1.787 5.954
1.861 -1.787 9.787
1.861 -4.727 7.871

=====

[19]
PBE LuMgAgSeS2, relaxed; SG = Cmcm; VASP energy = -4.5540 eV/atom
1.0
1.876 -6.402 0.000
1.876 6.402 0.000
0.000 0.000 10.667
Lu Mg Ag Se S
2 2 2 2 4
Cartesian
0.000 0.000 0.000
0.000 0.000 5.333
1.876 3.604 8.000
1.876 -3.604 2.667
1.876 0.222 2.667
1.876 -0.222 8.000
1.876 4.772 2.667
1.876 -4.772 8.000
1.876 1.774 0.741
1.876 1.774 4.593
1.876 -1.774 6.074
1.876 -1.774 9.926

=====

[20]
PBE LuMgAgSe3, relaxed; SG = Cmcm; VASP energy = -4.2730 eV/atom
1.0
1.928 -6.548 0.000
1.928 6.548 0.000
0.000 0.000 10.701
Lu Mg Ag Se
2 2 2 6
Cartesian
0.000 0.000 0.000
0.000 0.000 5.350
1.928 3.550 8.026
1.928 -3.550 2.675
1.928 0.270 2.675
1.928 -0.270 8.026
1.928 4.992 2.675
1.928 1.925 0.693
1.928 1.925 4.657
1.928 -1.925 6.044
1.928 -1.925 10.007
1.928 -4.992 8.026